1.
DFT (PBE) results for an optimized crystal structure of PuReB.

Computed properties:
Mass density, g/cm3: 15.91
DFT total energy, eV/atom: -11.156
Space group: I4mm (107)

Lattice parameters (Å, degrees): 3.0389 3.0389 5.4273 106.26 106.26 90.00
With the nearest neighbours (Å) after each atom.
Atoms (fractional coordinates):
Re 0.2779 0.2779 0.5558  4 B 2.23
B 0.7194 0.7194 0.4388  4 Re 2.23
Pu 0.0027 0.0027 0.0054  1 Re 2.74, 5 B 2.82-3.05, 4 Pu 3.04

=====

2.
DFT (PBE) results for an optimized crystal structure of PuRe2B2.

Computed properties:
Mass density, g/cm3: 15.95
DFT total energy, eV/atom: -10.758
Space group: C2/m (12)

Lattice parameters (Å, degrees): 3.1261 4.4364 5.1851 103.70 107.54 90.00
With the nearest neighbours (Å) after each atom.
Atoms (fractional coordinates):
Pu 0.0000 0.0000 0.0000  6 B 2.72-2.80
Re 0.3445 0.4216 0.6889  4 B 2.21-2.41
Re 0.6555 0.5784 0.3111  4 B 2.21-2.41
B 0.7321 0.1031 0.4642  2 B 1.89
B 0.2679 0.8969 0.5358  2 B 1.89

=====

3.
DFT (PBE) results for an optimized crystal structure of PuB6Rh12.

Computed properties:
Mass density, g/cm3: 10.54
DFT total energy, eV/atom: -7.828
Space group: R-3m (166)

Lattice parameters (Å, degrees): 6.4960 6.4960 6.4960 104.28 104.28 104.28
With the nearest neighbours (Å) after each atom.
Atoms (fractional coordinates):
Pu 0.0000 0.0000 0.0000  18 Rh 3.28-3.52, 6 B 3.36
B 0.6694 0.2332 0.2332  7 Rh 2.21-2.33
B 0.2332 0.2332 0.6694  7 Rh 2.21-2.33
B 0.2332 0.6694 0.2332  7 Rh 2.21-2.33
B 0.7668 0.7668 0.3306  7 Rh 2.21-2.33
B 0.3306 0.7668 0.7668  7 Rh 2.21-2.33
B 0.7668 0.3306 0.7668  7 Rh 2.21-2.33
Rh 0.8665 0.1335 0.5000  4 B 2.21-2.22
Rh 0.8148 0.5520 0.5520  3 B 2.26-2.33
Rh 0.5520 0.5520 0.8148  3 B 2.26-2.33
Rh 0.4480 0.1852 0.4480  3 B 2.26-2.33
Rh 0.4480 0.4480 0.1852  3 B 2.26-2.33
Rh 0.1852 0.4480 0.4480  3 B 2.26-2.33
Rh 0.1335 0.5000 0.8665  4 B 2.21-2.22
Rh 0.5000 0.8665 0.1335  4 B 2.21-2.22
Rh 0.1335 0.8665 0.5000  4 B 2.21-2.22
Rh 0.8665 0.5000 0.1335  4 B 2.21-2.22
Rh 0.5000 0.1335 0.8665  4 B 2.21-2.22
Rh 0.5520 0.8148 0.5520  3 B 2.26-2.33

=====

4.
DFT (PBE) results for an optimized crystal structure of PuB4Rh4.

Computed properties:
Mass density, g/cm3: 10.80
DFT total energy, eV/atom: -8.266
Space group: P4_2/nmc (137)

Lattice parameters (Å, degrees): 5.3437 5.3437 7.5291 90.00 90.00 90.00
With the nearest neighbours (Å) after each atom.
Atoms (fractional coordinates):
Pu 0.0000 0.0000 0.0000  12 Rh 2.98-3.18, 12 B 3.03-3.19
Pu 0.5000 0.5000 0.5000  12 Rh 2.98-3.18, 12 B 3.03-3.19
B 0.5000 0.8324 0.8523  1 B 1.79
B 0.5000 0.1676 0.8523  1 B 1.79
B 0.8324 0.5000 0.1477  1 B 1.79
B 0.1676 0.5000 0.1477  1 B 1.79
B 0.3324 0.0000 0.3523  1 B 1.79
B 0.6676 0.0000 0.3523  1 B 1.79
B 0.0000 0.3324 0.6477  1 B 1.79
B 0.0000 0.6676 0.6477  1 B 1.79
Rh 0.2500 0.5000 0.8542  5 B 2.22-2.25
Rh 0.7500 0.5000 0.8542  5 B 2.22-2.25
Rh 0.5000 0.7500 0.1458  5 B 2.22-2.25
Rh 0.5000 0.2500 0.1458  5 B 2.22-2.25
Rh 0.0000 0.7500 0.3542  5 B 2.22-2.25
Rh 0.0000 0.2500 0.3542  5 B 2.22-2.25
Rh 0.2500 0.0000 0.6458  5 B 2.22-2.25
Rh 0.7500 0.0000 0.6458  5 B 2.22-2.25

=====

5.
DFT (PBE) results for an optimized crystal structure of Pu2BRh4.

Computed properties:
Mass density, g/cm3: 12.44
DFT total energy, eV/atom: -9.661
Space group: I4/mmm (139)

Lattice parameters (Å, degrees): 4.1795 4.1795 7.5575 73.95 73.95 90.00
With the nearest neighbours (Å) after each atom.
Atoms (fractional coordinates):
B 0.0000 0.0000 0.0000  6 Rh 2.08-2.09
Rh 0.8506 0.8506 0.2988  1 B 2.08
Rh 0.1494 0.1494 0.7012  1 B 2.08
Rh 0.0000 0.5000 0.0000  2 B 2.09
Rh 0.5000 0.0000 0.0000  2 B 2.09
Pu 0.6584 0.6584 0.6832  5 Rh 2.67-2.96
Pu 0.3416 0.3416 0.3168  5 Rh 2.67-2.96

=====

6.
DFT (PBE) results for an optimized crystal structure of Pu2BRh6.

Computed properties:
Mass density, g/cm3: 13.09
DFT total energy, eV/atom: -9.268
Space group: P-3m1 (164)

Lattice parameters (Å, degrees): 4.8213 5.8229 5.8229 60.01 90.02 90.02
With the nearest neighbours (Å) after each atom.
Atoms (fractional coordinates):
Pu 0.7817 0.6666 0.6666  12 Rh 2.87-3.00
Pu 0.2183 0.3334 0.3334  12 Rh 2.87-3.00
B 0.0000 0.0000 0.0000  6 Rh 2.12
Rh 0.2651 0.3349 0.8326  1 B 2.12
Rh 0.2649 0.8326 0.8326  1 B 2.12
Rh 0.2651 0.8326 0.3349  1 B 2.12
Rh 0.7349 0.6651 0.1674  1 B 2.12
Rh 0.7351 0.1674 0.1674  1 B 2.12
Rh 0.7349 0.1674 0.6651  1 B 2.12

=====

7.
DFT (PBE) results for an optimized crystal structure of PuBRh.

Computed properties:
Mass density, g/cm3: 12.99
DFT total energy, eV/atom: -9.785
Space group: P-1 (2)

Lattice parameters (Å, degrees): 3.1374 5.1661 5.8754 94.84 105.45 90.04
With the nearest neighbours (Å) after each atom.
Atoms (fractional coordinates):
Pu 0.8685 0.6239 0.7379  4 B 2.69-2.83
Pu 0.1315 0.3761 0.2621  4 B 2.69-2.83
B 0.2309 0.8930 0.4618  2 B 1.95, 2 Rh 2.15
B 0.7691 0.1070 0.5382  2 B 1.95, 2 Rh 2.15
Rh 0.6012 0.8634 0.2013  3 B 2.15-2.19
Rh 0.3988 0.1366 0.7987  3 B 2.15-2.19

=====

8.
DFT (PBE) results for an optimized crystal structure of PuB2Rh7.

Computed properties:
Mass density, g/cm3: 10.80
DFT total energy, eV/atom: -7.969
Space group: Cmmm (65)

Lattice parameters (Å, degrees): 4.0924 6.3407 6.3407 112.86 90.00 90.00
With the nearest neighbours (Å) after each atom.
Atoms (fractional coordinates):
Pu 0.0000 0.0000 0.0000  8 Rh 2.81
B 0.5000 0.7046 0.2954  5 Rh 2.05-2.17
B 0.5000 0.2954 0.7046  5 Rh 2.05-2.17
Rh 0.0000 0.6932 0.3068  2 B 2.05
Rh 0.0000 0.3068 0.6932  2 B 2.05
Rh 0.5000 0.0566 0.3224  2 B 2.17-2.31
Rh 0.5000 0.9434 0.6776  2 B 2.17-2.31
Rh 0.5000 0.3224 0.0566  2 B 2.17-2.31
Rh 0.5000 0.6776 0.9434  2 B 2.17-2.31
Rh 0.5000 0.5000 0.5000  2 B 2.16

=====

9.
DFT (PBE) results for an optimized crystal structure of Pu3B2Rh7.

Computed properties:
Mass density, g/cm3: 12.27
DFT total energy, eV/atom: -9.083
Space group: Cmmm (65)

Lattice parameters (Å, degrees): 3.5774 4.0037 14.0377 90.00 97.32 90.00
With the nearest neighbours (Å) after each atom.
Atoms (fractional coordinates):
Pu 0.5000 0.5000 0.0000  6 Rh 2.50-2.68
Pu 0.1911 0.5000 0.3822  4 Rh 2.82, 6 B 2.85-2.97
Pu 0.8089 0.5000 0.6178  4 Rh 2.82, 6 B 2.85-2.97
B 0.2637 0.0000 0.5274  2 B 1.94, 1 Rh 2.14
B 0.7363 0.0000 0.4726  2 B 1.94, 1 Rh 2.14
Rh 0.0911 0.0000 0.1822  7 Rh 2.54-2.68
Rh 0.3404 0.0000 0.6807  1 B 2.14
Rh 0.0000 0.0000 0.0000  2 Rh 2.54, 4 Pu 2.68
Rh 0.9089 0.0000 0.8178  7 Rh 2.54-2.68
Rh 0.5899 0.5000 0.1798  1 Pu 2.50, 6 Rh 2.68-2.79
Rh 0.4101 0.5000 0.8202  1 Pu 2.50, 6 Rh 2.68-2.79
Rh 0.6596 0.0000 0.3193  1 B 2.14

=====

10.
DFT (PBE) results for an optimized crystal structure of PuBRh.

Computed properties:
Mass density, g/cm3: 12.31
DFT total energy, eV/atom: -9.726
Space group: Pnma (62)

Lattice parameters (Å, degrees): 3.6197 6.3690 8.3743 90.00 90.00 90.00
With the nearest neighbours (Å) after each atom.
Atoms (fractional coordinates):
B 0.2500 0.7003 0.5792  3 Rh 2.11-2.25
B 0.7500 0.2997 0.4208  3 Rh 2.11-2.25
B 0.2500 0.2003 0.9208  3 Rh 2.11-2.25
B 0.7500 0.7997 0.0792  3 Rh 2.11-2.25
Pu 0.2500 0.9729 0.3133  5 B 2.82-2.90, 6 Rh 2.98-3.10
Pu 0.7500 0.0271 0.6867  5 B 2.82-2.90, 6 Rh 2.98-3.10
Pu 0.2500 0.4729 0.1867  5 B 2.82-2.90, 6 Rh 2.98-3.10
Pu 0.7500 0.5271 0.8133  5 B 2.82-2.90, 6 Rh 2.98-3.10
Rh 0.2500 0.8493 0.9552  3 B 2.11-2.25
Rh 0.7500 0.1507 0.0448  3 B 2.11-2.25
Rh 0.2500 0.3493 0.5448  3 B 2.11-2.25
Rh 0.7500 0.6507 0.4552  3 B 2.11-2.25

=====

11.
DFT (PBE) results for an optimized crystal structure of PuB4Rh4.

Computed properties:
Mass density, g/cm3: 10.16
DFT total energy, eV/atom: -8.290
Space group: P4_2/n (86)

Lattice parameters (Å, degrees): 4.0188 7.5385 7.5385 90.00 90.00 90.00
With the nearest neighbours (Å) after each atom.
Atoms (fractional coordinates):
Pu 0.0000 0.0000 0.0000  8 B 2.93-3.05, 8 Rh 3.15-3.18
Pu 0.5000 0.5000 0.5000  8 B 2.93-3.05, 8 Rh 3.15-3.18
B 0.6105 0.8389 0.2868  1 B 1.83
B 0.6105 0.1611 0.7132  1 B 1.83
B 0.1105 0.7868 0.6611  1 B 1.83
B 0.8895 0.3389 0.7868  1 B 1.83
B 0.8895 0.6611 0.2132  1 B 1.83
B 0.3895 0.2868 0.1611  1 B 1.83
B 0.3895 0.7132 0.8389  1 B 1.83
B 0.1105 0.2132 0.3389  1 B 1.83
Rh 0.3892 0.3452 0.8874  4 B 2.11-2.15
Rh 0.8892 0.6126 0.8452  4 B 2.11-2.15
Rh 0.3892 0.6548 0.1126  4 B 2.11-2.15
Rh 0.1108 0.1548 0.6126  4 B 2.11-2.15
Rh 0.6108 0.8874 0.6548  4 B 2.11-2.15
Rh 0.1108 0.8452 0.3874  4 B 2.11-2.15
Rh 0.8892 0.3874 0.1548  4 B 2.11-2.15
Rh 0.6108 0.1126 0.3452  4 B 2.11-2.15

=====

12.
DFT (PBE) results for an optimized crystal structure of PuB2Rh2.

Computed properties:
Mass density, g/cm3: 10.66
DFT total energy, eV/atom: -8.949
Space group: Fddd (70)

Lattice parameters (Å, degrees): 5.5444 5.5444 6.0163 106.57 106.57 112.40
With the nearest neighbours (Å) after each atom.
Atoms (fractional coordinates):
Pu 0.8749 0.6251 0.7500  6 B 2.92-3.07, 4 Rh 3.03
Pu 0.1251 0.3749 0.2500  6 B 2.92-3.07, 4 Rh 3.03
B 0.1924 0.3076 0.7500  4 Rh 2.06-2.16
B 0.4423 0.0577 0.2500  4 Rh 2.06-2.17
B 0.5577 0.9423 0.7500  4 Rh 2.06-2.17
B 0.8076 0.6924 0.2500  4 Rh 2.06-2.16
Rh 0.2432 0.9931 0.4864  4 B 2.06-2.17
Rh 0.4931 0.7432 0.9864  4 B 2.06-2.17
Rh 0.7568 0.0069 0.5136  4 B 2.06-2.17
Rh 0.5069 0.2568 0.0136  4 B 2.06-2.17